{"formula": "TcRhC2", "functional": "PBE", "state": "optimized geometry", "cell": [[0.0000, 2.6898, 2.6898], [2.6898, 0.0000, 2.6898], [2.6898, 2.6898, 0.0000]], "species": ["C", "C", "Rh", "Tc"], "fractional_positions": [[0.7500, 0.7500, 0.7500], [0.2500, 0.2500, 0.2500], [0.5000, 0.5000, 0.5000], [0.0000, 0.0000, 0.0000]], "mass_density_g_cm3": 9.60, "magmom_total_mub_per_fu": 0.000, "e_above_lowest_polymorph_kcal_per_mol_atoms": 15.306, "dos_ef_per_ev_cell": 2.18}

***

{"formula": "Pa2Be4Si3Ni", "functional": "PBE", "state": "optimized geometry", "cell": [[-2.0651, 3.2927, -0.0107], [-2.9566, -1.8487, 1.7167], [3.4513, 2.1914, 8.3037]], "species": ["Si", "Si", "Si", "Pa", "Pa", "Be", "Be", "Be", "Be", "Ni"], "fractional_positions": [[0.0000, 0.5000, 0.1331], [0.0000, 0.0000, 0.5000], [0.5000, 0.0000, 0.8669], [0.5000, 0.0000, 0.2538], [0.0000, 0.5000, 0.7462], [0.5000, 0.0000, 0.6248], [0.5000, 0.5000, 0.0000], [0.0000, 0.5000, 0.3752], [0.0000, 0.0000, 0.0000], [0.5000, 0.5000, 0.5000]], "mass_density_g_cm3": 7.61, "raw_formation_energy_ev_per_atom": -0.389, "magmom_total_mub_per_fu": 0.000, "dos_ef_per_ev_cell": 7.92}

***

{"formula": "BaIn2AgTe4", "functional": "PBE", "state": "optimized geometry", "cell": [[8.3783, 0.0000, 0.0000], [4.1892, 5.6340, -0.1257], [4.1892, 0.3364, 5.6253]], "species": ["Te", "Te", "Te", "Te", "Ba", "In", "In", "Ag"], "fractional_positions": [[0.4643, 0.1077, 0.5774], [0.1494, 0.8923, 0.4226], [0.5357, 0.4226, 0.8923], [0.8506, 0.5774, 0.1077], [0.0000, 0.0000, 0.0000], [0.1875, 0.3125, 0.3125], [0.8125, 0.6875, 0.6875], [0.5000, 0.5000, 0.5000]], "mass_density_g_cm3": 6.15, "raw_formation_energy_ev_per_atom": -0.528, "magmom_total_mub_per_fu": 0.000, "dos_ef_per_ev_cell": 4.49}

***

{"formula": "LaSmIrRh", "functional": "PBE", "state": "optimized geometry", "cell": [[-2.2116, -3.4751, -2.8691], [1.5696, -0.7349, -4.7112], [2.4649, -4.2060, -1.1971]], "species": ["Rh", "La", "Sm", "Ir"], "fractional_positions": [[0.5000, 0.5000, 0.5000], [0.2500, 0.2500, 0.2500], [0.7500, 0.7500, 0.7500], [0.0000, 0.0000, 0.0000]], "mass_density_g_cm3": 10.85, "magmom_total_mub_per_fu": 0.000, "e_above_lowest_polymorph_kcal_per_mol_atoms": 1.153, "dos_ef_per_ev_cell": 2.55}

***

{"formula": "Ho6Au2N", "functional": "PBE", "state": "optimized geometry", "cell": [[6.6322, 0.0000, -0.0834], [0.0000, 6.8833, 0.0000], [0.1930, 0.0000, 9.5554]], "species": ["Au", "Au", "Au", "Au", "Ho", "Ho", "Ho", "Ho", "Ho", "Ho", "Ho", "Ho", "Ho", "Ho", "Ho", "Ho", "N", "N"], "fractional_positions": [[0.0266, 0.5621, 0.7501], [0.9734, 0.4379, 0.2499], [0.4734, 0.0621, 0.7499], [0.5266, 0.9379, 0.2501], [0.2123, 0.2976, 0.9484], [0.7123, 0.2024, 0.4484], [0.8012, 0.7147, 0.4492], [0.6988, 0.2147, 0.0508], [0.8992, 0.9807, 0.7428], [0.6008, 0.4807, 0.7572], [0.3992, 0.5193, 0.2428], [0.3012, 0.7853, 0.9492], [0.1988, 0.2853, 0.5508], [0.2877, 0.7976, 0.5516], [0.7877, 0.7024, 0.0516], [0.1008, 0.0193, 0.2572], [0.5000, 0.5000, 0.0000], [0.0000, 0.0000, 0.5000]], "mass_density_g_cm3": 10.64, "raw_formation_energy_ev_per_atom": -0.796, "magmom_total_mub_per_fu": 0.000, "dos_ef_per_ev_cell": 14.92}

***

{"formula": "SrTcMo", "functional": "PBE", "state": "optimized geometry", "cell": [[5.4889, 0.0000, -0.0032], [0.0000, 4.2182, 0.0000], [-0.0353, 0.0000, 12.0647]], "species": ["Tc", "Tc", "Tc", "Tc", "Sr", "Sr", "Sr", "Sr", "Mo", "Mo", "Mo", "Mo"], "fractional_positions": [[0.4264, 0.5000, 0.8210], [0.4264, 0.0000, 0.3210], [0.6869, 0.5000, 0.2761], [0.6869, 0.0000, 0.7761], [0.6812, 0.0000, 0.0402], [0.6812, 0.5000, 0.5402], [0.1856, 0.5000, 0.1046], [0.1856, 0.0000, 0.6046], [0.9281, 0.0000, 0.3190], [0.1832, 0.0000, 0.8702], [0.9281, 0.5000, 0.8190], [0.1832, 0.5000, 0.3702]], "mass_density_g_cm3": 6.70, "magmom_total_mub_per_fu": 0.000, "e_above_lowest_polymorph_kcal_per_mol_atoms": 1.763, "dos_ef_per_ev_cell": 13.99}

***

{"formula": "PmTm4Pt4", "functional": "PBE", "state": "optimized geometry", "cell": [[-4.3247, 0.3028, 3.6300], [-5.2592, -4.4103, -5.8978], [2.5155, -7.8872, 3.6548]], "species": ["Tm", "Tm", "Tm", "Tm", "Tm", "Tm", "Tm", "Tm", "Pt", "Pt", "Pt", "Pt", "Pt", "Pt", "Pt", "Pt", "Pm", "Pm"], "fractional_positions": [[0.5843, 0.1007, 0.3346], [0.9157, 0.3993, 0.1654], [0.5843, 0.8993, 0.6654], [0.0843, 0.1654, 0.6007], [0.4157, 0.6654, 0.1007], [0.9157, 0.6007, 0.8346], [0.4157, 0.3346, 0.8993], [0.0843, 0.8346, 0.3993], [0.4173, 0.6292, 0.7914], [0.0827, 0.8708, 0.7086], [0.0827, 0.1292, 0.2914], [0.5827, 0.2086, 0.6292], [0.5827, 0.7914, 0.3708], [0.9173, 0.7086, 0.1292], [0.9173, 0.2914, 0.8708], [0.4173, 0.3708, 0.2086], [0.0000, 0.0000, 0.0000], [0.5000, 0.5000, 0.5000]], "mass_density_g_cm3": 11.48, "magmom_total_mub_per_fu": 0.000, "energy_ev_per_cell": -112.98, "dos_ef_per_ev_cell": 13.75}

***

{"formula": "ScCdNiW2", "functional": "PBE", "state": "optimized geometry", "cell": [[-4.5327, -0.4111, 0.0447], [0.1068, -0.6877, 4.4980], [-0.4185, 4.6938, 0.7276]], "species": ["Ni", "W", "W", "Cd", "Sc"], "fractional_positions": [[0.0000, 0.0000, 0.0000], [0.0000, 0.5000, 0.0000], [0.5000, 0.0000, 0.0000], [0.0000, 0.0000, 0.5000], [0.5000, 0.5000, 0.5000]], "mass_density_g_cm3": 9.81, "magmom_total_mub_per_fu": 0.000, "energy_ev_per_cell": -33.78, "dos_ef_per_ev_cell": 6.31}